No. 1
Compound: YTiFe3
Source: Alexandria
Functional: PBE
Structure: optimized geometry

a b c (Å): 4.451 4.451 4.451
angles (deg): 90.00 90.00 90.00
Element x y z (fractional)
Fe1 0.000 0.500 0.000
Fe2 0.500 0.000 0.000
Fe3 0.000 0.000 0.500
Y1 0.500 0.500 0.500
Ti1 0.000 0.000 0.000

Output
Spin magnetization ... 4.7 Bohr magnetons per cell
Crystal system ... cubic
Density of states at the Fermi level ... 3.60 states/eV/cell
Calculated formation energy ... 0.545 eV per atom
V ... 88.19 Å³/cell
ΔE to the lowest computed polymorph ... 0 meV per atom
Final energy ... -37.0 eV/cell

=====

No. 2
Compound: TeCl6F
Source: Alexandria
Functional: PBE
Structure: optimized geometry

a b c (Å): 7.007 7.110 8.844
angles (deg): 51.97 54.14 60.08
Element x y z (fractional)
Cl1 0.186 0.347 0.777
Cl2 0.673 0.202 0.205
Cl3 0.200 0.811 0.219
Cl4 0.800 0.189 0.781
Cl5 0.814 0.653 0.223
Cl6 0.327 0.798 0.795
Te1 0.000 0.000 0.000
F1 0.500 0.500 0.500

Output
Spin magnetization ... 1.0 Bohr magnetons per cell
Crystal system ... triclinic
Formation energy (no corrections) ... -0.299 eV/atom
Density of states at the Fermi level ... 0.05 states/eV/cell
V ... 274.65 Å³/cell
Final energy ... -18.5 eV/cell

=====

No. 3
Compound: ZnFe2BiP
Source: Alexandria
Functional: PBE
Structure: optimized geometry

a b c (Å): 4.383 4.661 4.383
angles (deg): 90.00 90.00 90.00
Element x y z (fractional)
Zn1 0.000 0.500 0.000
Fe1 0.500 0.000 0.000
Fe2 0.000 0.000 0.500
Bi1 0.500 0.500 0.500
P1 0.000 0.000 0.000

Output
Spin magnetization ... 4.2 Bohr magnetons per cell
Crystal system ... tetragonal
Density of states at the Fermi level ... 5.67 states/eV/cell
Calculated formation energy ... 0.396 eV per atom
V ... 89.54 Å³/cell
Final energy ... -25.5 eV/cell

=====

No. 4
Compound: FeTe
Source: Alexandria
Functional: PBE
Structure: optimized geometry

a b c (Å): 6.269 6.269 6.269
angles (deg): 144.75 144.75 50.71
Element x y z (fractional)
Te1 0.500 0.500 0.000
Te2 0.750 0.250 0.500
Fe1 0.000 0.000 0.000
Fe2 0.250 0.750 0.500

Output
Spin magnetization ... 5.8 Bohr magnetons per cell
Crystal system ... tetragonal
Formation energy (no corrections) ... 0.614 eV/atom
Density of states at the Fermi level ... 5.73 states/eV/cell
V ... 81.66 Å³/cell
Final energy ... -20.8 eV/cell

=====

No. 5
Compound: Tl3GaMo
Source: Alexandria
Functional: PBE
Structure: optimized geometry

a b c (Å): 5.397 5.397 5.397
angles (deg): 90.00 90.00 90.00
Element x y z (fractional)
Tl1 0.000 0.500 0.000
Tl2 0.000 0.000 0.500
Tl3 0.500 0.000 0.000
Ga1 0.500 0.500 0.500
Mo1 0.000 0.000 0.000

Output
Spin magnetization ... 0.0 Bohr magnetons per cell
Crystal system ... cubic
Density of states at the Fermi level ... 3.21 states/eV/cell
Calculated formation energy ... 0.652 eV per atom
V ... 157.16 Å³/cell
Final energy ... -17.7 eV/cell

=====

No. 6
Compound: Pr2MgGa2Pd5
Source: Alexandria
Functional: PBE
Structure: optimized geometry

a b c (Å): 3.524 10.447 10.447
angles (deg): 90.00 90.00 90.00
Element x y z (fractional)
Ga1 0.000 0.375 0.125
Ga2 0.000 0.125 0.625
Ga3 0.000 0.875 0.375
Ga4 0.000 0.625 0.875
Pd1 0.500 0.707 0.443
Pd2 0.500 0.057 0.793
Pd3 0.500 0.207 0.057
Pd4 0.500 0.000 0.500
Pd5 0.500 0.500 0.000
Pd6 0.500 0.293 0.557
Pd7 0.500 0.557 0.707
Pd8 0.500 0.793 0.943
Pd9 0.500 0.943 0.207
Pd10 0.500 0.443 0.293
Mg1 0.000 0.500 0.500
Mg2 0.000 0.000 0.000
Pr1 0.000 0.176 0.324
Pr2 0.000 0.824 0.676
Pr3 0.000 0.676 0.176
Pr4 0.000 0.324 0.824

Output
Spin magnetization ... 0.0 Bohr magnetons per cell
Crystal system ... tetragonal
Density of states at the Fermi level ... 9.60 states/eV/cell
Calculated formation energy ... -0.693 eV per atom
V ... 384.63 Å³/cell
Final energy ... -100.2 eV/cell